AcSb12Rh4: optimized geometry, PBE-GGA.

a = 8.2073 Å, b = 8.2073 Å, c = 8.2073 Å
α = 109.47°, β = 109.47°, γ = 109.47°
With the nearest neighbours (Å) after each atom.
Positions (direct):
Ac 0.0000 0.0000 0.0000  12 Sb 3.55
Sb 0.1570 0.3404 0.4974  2 Rh 2.67, 1 Sb 2.98
Sb 0.1570 0.6596 0.8166  2 Rh 2.67, 1 Sb 2.98
Sb 0.1834 0.8430 0.3404  2 Rh 2.67, 1 Sb 2.98
Sb 0.3404 0.1834 0.8430  2 Rh 2.67, 1 Sb 2.98
Sb 0.3404 0.4974 0.1570  2 Rh 2.67, 1 Sb 2.98
Sb 0.4974 0.1570 0.3404  2 Rh 2.67, 1 Sb 2.98
Sb 0.5026 0.8430 0.6596  2 Rh 2.67, 1 Sb 2.98
Sb 0.6596 0.5026 0.8430  2 Rh 2.67, 1 Sb 2.98
Sb 0.6596 0.8166 0.1570  2 Rh 2.67, 1 Sb 2.98
Sb 0.8166 0.1570 0.6596  2 Rh 2.67, 1 Sb 2.98
Sb 0.8430 0.3404 0.1834  2 Rh 2.67, 1 Sb 2.98
Sb 0.8430 0.6596 0.5026  2 Rh 2.67, 1 Sb 2.98
Rh 0.0000 0.0000 0.5000  6 Sb 2.67
Rh 0.0000 0.5000 0.0000  6 Sb 2.67
Rh 0.5000 0.0000 0.0000  6 Sb 2.67
Rh 0.5000 0.5000 0.5000  6 Sb 2.67

E_form (uncorrected) in eV/atom: -0.463
Size of the total moment in μB/atom: 0.0000